Below is a relaxed structure of CsCrF2, with properties calculated at the PBE+U level.

Values from the calculation:
VASP energy: -74.5 eV for the cell shown

a b c (Å): 6.754 6.754 6.754
angles (deg): 90.00 90.00 90.00
Space group Fm-3m (No. 225)
Symmetry-distinct sites (fractional):
Cs 0.000 0.000 0.000 [4 per cell]
Cr 0.000 0.000 0.500 [4 per cell]
F 0.250 0.250 0.250 [8 per cell]